Below is a relaxed structure of PrPuNi, with properties calculated at the PBE level.

a = 6.4465 Å, b = 6.4465 Å, c = 6.4465 Å
α = 90.00°, β = 90.00°, γ = 90.00°
Space group F-43m (No. 216)
Inequivalent atoms, fractional coordinates:
1 Pr 0.0000 0.0000 0.0000 (multiplicity 4)
2 Pu 0.2500 0.2500 0.7500 (multiplicity 4)
3 Ni 0.0000 0.0000 0.5000 (multiplicity 4)

Computed properties:
Total moment = 0.249 μB per cell
DFT total energy = -7.071 eV/atom